[1]
PBE EuTm5, relaxed; space-group type = Cmmm, No. 65; electronic total energy = -4.96 eV/atom
1.0
3.3800 0.0000 0.0000
0.0000 18.1801 0.0000
0.0000 0.0000 6.4071
Eu Tm
2 10
Direct
0.0000 0.0000 0.0000 Eu
0.5000 0.5000 0.0000 Eu
0.0000 0.1685 0.5000 Tm
0.0000 0.1760 0.0000 Tm
0.0000 0.5000 0.5000 Tm
0.0000 0.8240 0.0000 Tm
0.0000 0.8315 0.5000 Tm
0.5000 0.0000 0.5000 Tm
0.5000 0.3240 0.0000 Tm
0.5000 0.3315 0.5000 Tm
0.5000 0.6685 0.5000 Tm
0.5000 0.6760 0.0000 Tm



[2]
PBE TaNiW2, relaxed; space-group type = Cmm2, No. 35; electronic total energy = -10.90 eV/atom
1.0
3.2985 0.0000 0.0000
0.0000 4.3554 0.0000
0.0000 0.0000 8.5632
Ta Ni W
2 2 4
Direct
0.0000 0.0000 0.0000 Ta
0.5000 0.5000 0.0000 Ta
0.0000 0.5000 0.7625 Ni
0.5000 0.0000 0.7625 Ni
0.0000 0.0000 0.5354 W
0.0000 0.5000 0.2729 W
0.5000 0.0000 0.2729 W
0.5000 0.5000 0.5354 W



[3]
PBE Pm8Dy2Er, relaxed; space-group type = C2/m, No. 12; electronic total energy = -4.50 eV/atom
1.0
7.1020 -3.3863 0.0000
7.1020 3.3863 0.0000
-3.4595 0.0000 7.8466
Pm Dy Er
8 2 1
Direct
0.1082 0.1082 0.9917 Pm
0.1490 0.6681 0.6198 Pm
0.2414 0.2414 0.7731 Pm
0.3319 0.8510 0.3802 Pm
0.6681 0.1490 0.6198 Pm
0.7586 0.7586 0.2269 Pm
0.8510 0.3319 0.3802 Pm
0.8918 0.8918 0.0083 Pm
0.3528 0.3528 0.2438 Dy
0.6472 0.6472 0.7562 Dy
0.5000 0.5000 0.0000 Er



[4]
PBE TcSe2BrF, relaxed; space-group type = P4/mmm, No. 123; energy relative to the elements, uncorrected = 0.676 eV/atom; electronic total energy = -3.50 eV/atom
1.0
4.3631 0.0000 0.0000
0.0000 4.3631 0.0000
0.0000 0.0000 5.9116
Tc Se Br F
1 2 1 1
Direct
0.0000 0.0000 0.0000 Tc
0.0000 0.5000 0.5000 Se
0.5000 0.0000 0.5000 Se
0.5000 0.5000 0.0000 Br
0.5000 0.5000 0.5000 F



[5]
PBE Pm8Ni2Au, relaxed; space-group type = Cm, No. 8; electronic total energy = -4.95 eV/atom
1.0
4.2144 -6.7122 0.0000
4.2144 6.7122 0.0000
-1.6832 0.0000 5.5529
Pm Ni Au
8 2 1
Direct
0.0000 0.0000 0.0000 Pm
0.0397 0.2931 0.5978 Pm
0.1469 0.6088 0.1827 Pm
0.2931 0.0397 0.5978 Pm
0.4656 0.7199 0.7594 Pm
0.6088 0.1469 0.1827 Pm
0.7199 0.4656 0.7594 Pm
0.7598 0.7598 0.3662 Pm
0.0841 0.6746 0.6817 Ni
0.6746 0.0841 0.6817 Ni
0.3783 0.3783 0.2663 Au



[6]
PBE YAlHg2, relaxed; space-group type = Pmmm, No. 47; electronic total energy = -2.94 eV/atom
1.0
3.3184 0.0000 0.0000
0.0000 4.7304 0.0000
0.0000 0.0000 5.9890
Y Al Hg
1 1 2
Direct
0.0000 0.0000 0.0000 Y
0.5000 0.0000 0.5000 Al
0.5000 0.5000 0.2486 Hg
0.5000 0.5000 0.7514 Hg



[7]
PBE BeCdAgAu, relaxed; space-group type = F-43m, No. 216; electronic total energy = -2.58 eV/atom
1.0
6.4222 0.0000 0.0000
0.0000 6.4222 0.0000
0.0000 0.0000 6.4222
Be Cd Ag Au
4 4 4 4
Direct
0.0000 0.0000 0.0000 Be
0.0000 0.5000 0.5000 Be
0.5000 0.0000 0.5000 Be
0.5000 0.5000 0.0000 Be
0.0000 0.0000 0.5000 Cd
0.0000 0.5000 0.0000 Cd
0.5000 0.0000 0.0000 Cd
0.5000 0.5000 0.5000 Cd
0.2500 0.2500 0.2500 Ag
0.2500 0.7500 0.7500 Ag
0.7500 0.2500 0.7500 Ag
0.7500 0.7500 0.2500 Ag
0.2500 0.2500 0.7500 Au
0.2500 0.7500 0.2500 Au
0.7500 0.2500 0.2500 Au
0.7500 0.7500 0.7500 Au



[8]
PBE La5YIn2, relaxed; space-group type = Pbam, No. 55; electronic total energy = -4.77 eV/atom
1.0
8.0288 0.0000 0.0000
0.0000 16.4500 0.0000
0.0000 0.0000 3.8488
La Y In
10 2 4
Direct
0.0000 0.0000 0.0000 La
0.0160 0.2487 0.0000 La
0.2207 0.8699 0.5000 La
0.2793 0.3699 0.5000 La
0.4840 0.7487 0.0000 La
0.5000 0.5000 0.0000 La
0.5160 0.2513 0.0000 La
0.7207 0.6301 0.5000 La
0.7793 0.1301 0.5000 La
0.9840 0.7513 0.0000 La
0.0000 0.5000 0.0000 Y
0.5000 0.0000 0.0000 Y
0.2322 0.6199 0.5000 In
0.2678 0.1199 0.5000 In
0.7322 0.8801 0.5000 In
0.7678 0.3801 0.5000 In



[9]
PBE Pm3HgH, relaxed; space-group type = P2_1/m, No. 11; electronic total energy = -3.88 eV/atom
1.0
7.0172 0.0000 0.0000
0.0000 3.7174 0.0000
-1.8052 0.0000 9.7825
Pm Hg H
6 2 2
Direct
0.0895 0.2500 0.3737 Pm
0.2239 0.2500 0.9125 Pm
0.3995 0.7500 0.6395 Pm
0.6005 0.2500 0.3605 Pm
0.7761 0.7500 0.0875 Pm
0.9105 0.7500 0.6263 Pm
0.2889 0.7500 0.1760 Hg
0.7111 0.2500 0.8240 Hg
0.1630 0.2500 0.6475 H
0.8370 0.7500 0.3525 H



[10]
PBE LaCeReN4, relaxed; space-group type = Cmcm, No. 63; energy relative to the elements, uncorrected = -1.003 eV/atom; electronic total energy = -9.09 eV/atom
1.0
2.7485 -6.3543 0.0000
2.7485 6.3543 0.0000
0.0000 0.0000 5.5291
La Ce Re N
2 2 2 8
Direct
0.1027 0.8973 0.7500 La
0.8973 0.1027 0.2500 La
0.3984 0.6016 0.7500 Ce
0.6016 0.3984 0.2500 Ce
0.2449 0.7551 0.2500 Re
0.7551 0.2449 0.7500 Re
0.0000 0.5000 0.0000 N
0.0000 0.5000 0.5000 N
0.0835 0.9165 0.2500 N
0.4289 0.5711 0.2500 N
0.5000 0.0000 0.0000 N
0.5000 0.0000 0.5000 N
0.5711 0.4289 0.7500 N
0.9165 0.0835 0.7500 N



[11]
PBE KRu2Br, relaxed; space-group type = I-42d, No. 122; energy relative to the elements, uncorrected = 0.799 eV/atom; electronic total energy = -4.53 eV/atom
1.0
4.8389 0.0000 0.0000
0.0000 4.8389 0.0000
0.0000 0.0000 17.5948
K Ru Br
4 8 4
Direct
0.0000 0.0000 0.0000 K
0.0000 0.5000 0.2500 K
0.5000 0.0000 0.7500 K
0.5000 0.5000 0.5000 K
0.0194 0.7500 0.6250 Ru
0.2500 0.0194 0.3750 Ru
0.2500 0.4806 0.8750 Ru
0.4806 0.7500 0.1250 Ru
0.5194 0.2500 0.1250 Ru
0.7500 0.5194 0.8750 Ru
0.7500 0.9806 0.3750 Ru
0.9806 0.2500 0.6250 Ru
0.0000 0.0000 0.5000 Br
0.0000 0.5000 0.7500 Br
0.5000 0.0000 0.2500 Br
0.5000 0.5000 0.0000 Br



[12]
PBE Rb2CrSbCl, relaxed; space-group type = P4/mmm, No. 123; energy relative to the elements, uncorrected = 0.337 eV/atom; electronic total energy = -3.17 eV/atom
1.0
7.1793 0.0000 0.0000
0.0000 7.1793 0.0000
0.0000 0.0000 5.4354
Rb Cr Sb Cl
2 1 1 1
Direct
0.0000 0.5000 0.0000 Rb
0.5000 0.0000 0.0000 Rb
0.0000 0.0000 0.5000 Cr
0.5000 0.5000 0.0000 Sb
0.5000 0.5000 0.5000 Cl



[13]
PBE GePPd5, relaxed; space-group type = C2/c, No. 15; electronic total energy = -5.32 eV/atom
1.0
5.1443 -3.7274 0.0000
5.1443 3.7274 0.0000
-4.4515 0.0000 6.9773
Ge P Pd
2 2 10
Direct
0.0525 0.9475 0.7500 Ge
0.9475 0.0525 0.2500 Ge
0.5000 0.5000 0.0000 P
0.5000 0.5000 0.5000 P
0.1937 0.7993 0.0455 Pd
0.2007 0.8063 0.4545 Pd
0.2253 0.2705 0.2680 Pd
0.2705 0.2253 0.7680 Pd
0.3795 0.6205 0.7500 Pd
0.6205 0.3795 0.2500 Pd
0.7295 0.7747 0.2320 Pd
0.7747 0.7295 0.7320 Pd
0.7993 0.1937 0.5455 Pd
0.8063 0.2007 0.9545 Pd



[14]
PBE MgSe2O, relaxed; space-group type = I-42d, No. 122; energy relative to the elements, uncorrected = -0.215 eV/atom; electronic total energy = -3.60 eV/atom
1.0
5.3578 0.0000 0.0000
0.0000 5.3578 0.0000
0.0000 0.0000 12.1498
Mg Se O
4 8 4
Direct
0.0000 0.0000 0.0000 Mg
0.0000 0.5000 0.2500 Mg
0.5000 0.0000 0.7500 Mg
0.5000 0.5000 0.5000 Mg
0.1541 0.2500 0.6250 Se
0.2500 0.6541 0.8750 Se
0.2500 0.8459 0.3750 Se
0.3459 0.2500 0.1250 Se
0.6541 0.7500 0.1250 Se
0.7500 0.1541 0.3750 Se
0.7500 0.3459 0.8750 Se
0.8459 0.7500 0.6250 Se
0.0000 0.0000 0.5000 O
0.0000 0.5000 0.7500 O
0.5000 0.0000 0.2500 O
0.5000 0.5000 0.0000 O



[15]
PBE YThSiS, relaxed; space-group type = R3m, No. 160; energy relative to the elements, uncorrected = -1.326 eV/atom; electronic total energy = -7.18 eV/atom
1.0
4.1409 0.0000 0.0000
-2.0704 3.5861 0.0000
0.0000 0.0000 19.8348
Y Th Si S
3 3 3 3
Direct
0.0000 0.0000 0.0000 Y
0.3333 0.6667 0.6667 Y
0.6667 0.3333 0.3333 Y
0.0000 0.0000 0.5017 Th
0.3333 0.6667 0.1684 Th
0.6667 0.3333 0.8350 Th
0.0000 0.0000 0.2527 Si
0.3333 0.6667 0.9194 Si
0.6667 0.3333 0.5860 Si
0.0000 0.0000 0.7482 S
0.3333 0.6667 0.4148 S
0.6667 0.3333 0.0815 S



[16]
PBE RbSbTe2Os, relaxed; space-group type = P4/mmm, No. 123; energy relative to the elements, uncorrected = 0.248 eV/atom; electronic total energy = -4.27 eV/atom
1.0
5.6419 0.0000 0.0000
0.0000 5.6419 0.0000
0.0000 0.0000 5.0520
Rb Sb Te Os
1 1 2 1
Direct
0.0000 0.0000 0.0000 Rb
0.5000 0.5000 0.0000 Sb
0.0000 0.5000 0.5000 Te
0.5000 0.0000 0.5000 Te
0.5000 0.5000 0.5000 Os



[17]
PBE LiPaHgAu, relaxed; space-group type = F-43m, No. 216; electronic total energy = -3.92 eV/atom
1.0
7.0312 0.0000 0.0000
0.0000 7.0312 0.0000
0.0000 0.0000 7.0312
Li Pa Hg Au
4 4 4 4
Direct
0.0000 0.0000 0.0000 Li
0.0000 0.5000 0.5000 Li
0.5000 0.0000 0.5000 Li
0.5000 0.5000 0.0000 Li
0.0000 0.0000 0.5000 Pa
0.0000 0.5000 0.0000 Pa
0.5000 0.0000 0.0000 Pa
0.5000 0.5000 0.5000 Pa
0.2500 0.2500 0.2500 Hg
0.2500 0.7500 0.7500 Hg
0.7500 0.2500 0.7500 Hg
0.7500 0.7500 0.2500 Hg
0.2500 0.2500 0.7500 Au
0.2500 0.7500 0.2500 Au
0.7500 0.2500 0.2500 Au
0.7500 0.7500 0.7500 Au



[18]
PBE MgNiTe, relaxed; space-group type = I4mm, No. 107; energy relative to the elements, uncorrected = -0.065 eV/atom; electronic total energy = -3.57 eV/atom
1.0
3.7850 0.0000 0.0000
0.0000 3.7850 0.0000
0.0000 0.0000 7.9739
Mg Ni Te
2 2 2
Direct
0.0000 0.0000 0.0000 Mg
0.5000 0.5000 0.5000 Mg
0.0000 0.0000 0.3373 Ni
0.5000 0.5000 0.8373 Ni
0.0000 0.0000 0.6578 Te
0.5000 0.5000 0.1578 Te



[19]
PBE Ba4Pt, relaxed; space-group type = P2_1/c, No. 14; electronic total energy = -3.16 eV/atom
1.0
9.1473 0.0000 0.0000
0.0000 7.5131 0.0000
-4.4588 0.0000 7.8730
Ba Pt
8 2
Direct
0.1561 0.2489 0.3286 Ba
0.1561 0.2511 0.8286 Ba
0.3273 0.7244 0.6625 Ba
0.3273 0.7756 0.1625 Ba
0.6727 0.2244 0.8375 Ba
0.6727 0.2756 0.3375 Ba
0.8439 0.7489 0.1714 Ba
0.8439 0.7511 0.6714 Ba
0.0000 0.0000 0.0000 Pt
0.0000 0.5000 0.5000 Pt



[20]
PBE HfFe2Co, relaxed; space-group type = Fm-3m, No. 225; electronic total energy = -8.55 eV/atom
1.0
5.9929 0.0000 0.0000
0.0000 5.9929 0.0000
0.0000 0.0000 5.9929
Hf Fe Co
4 8 4
Direct
0.0000 0.0000 0.0000 Hf
0.0000 0.5000 0.5000 Hf
0.5000 0.0000 0.5000 Hf
0.5000 0.5000 0.0000 Hf
0.2500 0.2500 0.2500 Fe
0.2500 0.2500 0.7500 Fe
0.2500 0.7500 0.2500 Fe
0.2500 0.7500 0.7500 Fe
0.7500 0.2500 0.2500 Fe
0.7500 0.2500 0.7500 Fe
0.7500 0.7500 0.2500 Fe
0.7500 0.7500 0.7500 Fe
0.0000 0.0000 0.5000 Co
0.0000 0.5000 0.0000 Co
0.5000 0.0000 0.0000 Co
0.5000 0.5000 0.5000 Co



[21]
PBE LaZrPb2Au, relaxed; space-group type = P4/mmm, No. 123; electronic total energy = -4.84 eV/atom
1.0
5.5335 0.0000 0.0000
0.0000 5.5335 0.0000
0.0000 0.0000 5.2888
La Zr Pb Au
1 1 2 1
Direct
0.0000 0.0000 0.0000 La
0.5000 0.5000 0.5000 Zr
0.0000 0.5000 0.5000 Pb
0.5000 0.0000 0.5000 Pb
0.5000 0.5000 0.0000 Au



[22]
PBE TbHo4Te2, relaxed; space-group type = R-3m, No. 166; energy relative to the elements, uncorrected = -0.489 eV/atom; electronic total energy = -4.66 eV/atom
1.0
2.7036 1.5609 8.8398
-2.7036 1.5609 8.8398
0.0000 -3.1219 8.8398
Tb Ho Te
1 4 2
Direct
0.0000 0.0000 0.0000 Tb
0.2349 0.2349 0.2349 Ho
0.3660 0.3660 0.3660 Ho
0.6340 0.6340 0.6340 Ho
0.7651 0.7651 0.7651 Ho
0.1175 0.1175 0.1175 Te
0.8825 0.8825 0.8825 Te



[23]
PBE CuPbSe2, relaxed; space-group type = Cmmm, No. 65; energy relative to the elements, uncorrected = -0.039 eV/atom; electronic total energy = -3.73 eV/atom
1.0
3.7858 0.0000 0.0000
0.0000 7.9770 0.0000
0.0000 0.0000 7.5532
Cu Pb Se
2 2 4
Direct
0.0000 0.0000 0.0000 Cu
0.5000 0.5000 0.0000 Cu
0.0000 0.0000 0.5000 Pb
0.5000 0.5000 0.5000 Pb
0.0000 0.5000 0.2047 Se
0.0000 0.5000 0.7953 Se
0.5000 0.0000 0.2047 Se
0.5000 0.0000 0.7953 Se



[24]
PBE Na2PaWN4, relaxed; space-group type = I-4, No. 82; energy relative to the elements, uncorrected = -0.706 eV/atom; electronic total energy = -8.00 eV/atom
1.0
5.4461 0.0000 0.0000
0.0000 5.4461 0.0000
0.0000 0.0000 9.5224
Na Pa W N
4 2 2 8
Direct
0.0000 0.0000 0.0000 Na
0.0000 0.5000 0.2500 Na
0.5000 0.0000 0.7500 Na
0.5000 0.5000 0.5000 Na
0.0000 0.0000 0.5000 Pa
0.5000 0.5000 0.0000 Pa
0.0000 0.5000 0.7500 W
0.5000 0.0000 0.2500 W
0.1742 0.7258 0.6365 N
0.2258 0.3258 0.8635 N
0.2742 0.1742 0.3635 N
0.3258 0.7742 0.1365 N
0.6742 0.2258 0.1365 N
0.7258 0.8258 0.3635 N
0.7742 0.6742 0.8635 N
0.8258 0.2742 0.6365 N



[25]
PBE Pm6In3Hg, relaxed; space-group type = P2_1/m, No. 11; electronic total energy = -4.08 eV/atom
1.0
9.5382 0.0000 0.0000
0.0000 5.4211 0.0000
-3.6375 0.0000 11.3492
Pm In Hg
12 6 2
Direct
0.0395 0.2500 0.4132 Pm
0.1631 0.7500 0.1760 Pm
0.2507 0.2500 0.9992 Pm
0.3443 0.7500 0.8044 Pm
0.3690 0.2500 0.3452 Pm
0.4094 0.2500 0.6218 Pm
0.5906 0.7500 0.3782 Pm
0.6310 0.7500 0.6548 Pm
0.6557 0.2500 0.1956 Pm
0.7493 0.7500 0.0008 Pm
0.8369 0.2500 0.8240 Pm
0.9605 0.7500 0.5868 Pm
0.0326 0.7500 0.8791 In
0.1225 0.2500 0.7148 In
0.2714 0.7500 0.4734 In
0.7286 0.2500 0.5266 In
0.8775 0.7500 0.2852 In
0.9674 0.2500 0.1209 In
0.4584 0.7500 0.0987 Hg
0.5416 0.2500 0.9013 Hg



Mass density for the records above, in order: 8.4, 16.4, 7.3, 5.2, 7.8, 9.1, 10.7, 6.6, 8.3, 9.0, 5.2, 2.3, 7.9, 3.8, 6.4, 6.7, 12.1, 6.1, 4.6, 10.8, 8.6, 8.0, 6.2, 6.1, 8.0 g cm⁻³
V for the records above, in order: 394, 123, 377, 113, 314, 94, 265, 508, 255, 193, 412, 280, 268, 349, 295, 161, 348, 114, 541, 215, 162, 224, 228, 282, 587 Å³ per cell